VASP calculation (PBE) on InFeAs2 after structural relaxation.

The space group is Cm (No. 8) and the conventional cell measures 8.241, 3.079 and 6.318 Å, with angles of 90.00, 107.92 and 90.00 degrees. The inequivalent atoms are In at (0.000, 0.000, 0.000), Fe at (0.135, 0.500, 0.398), As at (0.196, 0.000, 0.706) and As at (0.343, 0.000, 0.365).

As for the calculated formation energy: 0.020 eV per atom. Its crystal system is monoclinic. As for the energy: -5.105 eV per atom.